[1]
VASP calculation (GGA-PBEsol) on an optimized crystal structure of SrY2Be.

a b c (Å): 3.7019 3.7019 30.7485
angles (deg): 90.00 90.00 120.00
Space group R-3m (No. 166, hexagonal axes)
Symmetry-distinct sites (fractional):
1 Sr 0.0000 0.0000 0.0000 (multiplicity 3)
2 Y 0.0000 0.0000 0.2251 (multiplicity 6)
3 Be 0.0000 0.0000 0.5000 (multiplicity 3)

Summary:
Formation enthalpy at 0 K, eV per atom: 0.2902
Magnetic moment, μB per atom: 0.00
DOS at the Fermi energy, states/eV/atom: 1.115



[2]
VASP calculation (GGA-PBEsol) on an optimized crystal structure of YNi2Se.

a b c (Å): 3.9721 3.9721 14.1862
angles (deg): 90.00 90.00 120.00
Space group R-3m (No. 166, hexagonal axes)
Symmetry-distinct sites (fractional):
1 Y 0.0000 0.0000 0.0000 (multiplicity 3)
2 Ni 0.0000 0.0000 0.2076 (multiplicity 6)
3 Se 0.0000 0.0000 0.5000 (multiplicity 3)

Summary:
Magnetic moment, μB per atom: 0.00
Formation energy (no corrections), meV/atom: -491
DOS at the Fermi energy, states/eV/atom: 0.750



[3]
VASP calculation (GGA-PBEsol) on an optimized crystal structure of CuRhCl2.

a b c (Å): 3.1718 3.3058 13.6059
angles (deg): 90.00 90.00 90.00
Space group Imm2 (No. 44)
Symmetry-distinct sites (fractional):
1 Cu 0.0000 0.0000 0.0000 (multiplicity 2)
2 Rh 0.0000 0.5000 0.6515 (multiplicity 2)
3 Cl 0.0000 0.0000 0.4396 (multiplicity 2)
4 Cl 0.0000 0.5000 0.2019 (multiplicity 2)

Summary:
Magnetic moment, μB per atom: 0.00
Formation energy (no corrections), meV/atom: 76
DOS at the Fermi energy, states/eV/atom: 0.907
Distance to the lowest polymorph of the same formula, meV per atom: 259



[4]
VASP calculation (GGA-PBEsol) on an optimized crystal structure of CaB6O10.

a b c (Å): 9.8254 8.7366 9.1223
angles (deg): 90.00 116.87 90.00
Space group P2_1/c (No. 14)
Symmetry-distinct sites (fractional):
1 Ca 0.2200 0.1158 0.4632 (multiplicity 4)
2 B 0.0824 0.0244 0.7636 (multiplicity 4)
3 B 0.0817 0.7358 0.3773 (multiplicity 4)
4 B 0.2181 0.5306 0.5618 (multiplicity 4)
5 B 0.3250 0.5566 0.2522 (multiplicity 4)
6 B 0.4426 0.1199 0.2816 (multiplicity 4)
7 B 0.4971 0.2295 0.0606 (multiplicity 4)
8 O 0.0227 0.6337 0.2489 (multiplicity 4)
9 O 0.0507 0.6114 0.8508 (multiplicity 4)
10 O 0.1560 0.0764 0.9355 (multiplicity 4)
11 O 0.1704 0.6832 0.5340 (multiplicity 4)
12 O 0.1956 0.0309 0.6971 (multiplicity 4)
13 O 0.3199 0.0054 0.2189 (multiplicity 4)
14 O 0.3742 0.6406 0.3958 (multiplicity 4)
15 O 0.4047 0.5501 0.1620 (multiplicity 4)
16 O 0.4205 0.2321 0.1543 (multiplicity 4)
17 O 0.4280 0.1885 0.4197 (multiplicity 4)

Summary:
Magnetic moment, μB per atom: 0.00
Formation energy (no corrections), meV/atom: -2584
DOS at the Fermi energy, states/eV/atom: 0.000



Question: Which formula does entry 1 have?
Answer: SrY2Be